1.
The following is a PBE calculation of an optimized crystal structure of Ca2PtBr, from Alexandria via LeMat-Bulk.

N(E_F)	1.933	states/eV/f.u.
space group	Imm2 (44)
energy relative to the elements, uncorrected	-1.108	eV/atom

Unit cell a=8.1922 b=8.1922 c=8.1922 alpha=153.18 beta=153.00 gamma=38.42
Positions (direct):
Ca 0.0000 0.0000 0.0000
Ca 0.7105 0.2105 0.5000
Pt 0.1349 0.6349 0.5000
Br 0.3881 0.3881 0.0000

2.
The following is a PBE calculation of an optimized crystal structure of NaLa2CdNi, from Alexandria via LeMat-Bulk.

energy	-3.67	eV/atom
N(E_F)	4.616	states/eV/f.u.
space group	P4/mmm (123)

Unit cell a=5.4284 b=5.4284 c=5.1779 alpha=90.00 beta=90.00 gamma=90.00
Positions (direct):
Na 0.0000 0.0000 0.0000
La 0.0000 0.5000 0.5000
La 0.5000 0.0000 0.5000
Cd 0.5000 0.5000 0.0000
Ni 0.5000 0.5000 0.5000

3.
The following is a PBE calculation of an optimized crystal structure of Cr2NiHg, from Alexandria via LeMat-Bulk.

energy	-6.06	eV/atom
N(E_F)	2.652	states/eV/f.u.
space group	P4mm (99)

Unit cell a=3.0843 b=3.0843 c=6.0538 alpha=90.00 beta=90.00 gamma=90.00
Positions (direct):
Cr 0.0000 0.0000 0.0000
Cr 0.5000 0.5000 0.1977
Ni 0.5000 0.5000 0.7705
Hg 0.0000 0.0000 0.5046